1.
# Mn2FeOs PBE relaxed
# - Energy relative to the elements: 0.170 eV/atom
data_Mn2FeOs
_chemical_formula_sum 'Mn6 Fe3 Os3'
_symmetry_space_group_name_H-M 'P 1'
_symmetry_Int_Tables_number 1
_symmetry_space_group_name_Hall 'P 1'
_cell_length_a 2.589
_cell_length_b 2.589
_cell_length_c 24.822
_cell_angle_alpha 90.00
_cell_angle_beta 90.00
_cell_angle_gamma 120.00
loop_
_atom_site_label
_atom_site_fract_x
_atom_site_fract_y
_atom_site_fract_z
Mn1 0.000 0.000 0.000
Mn2 0.000 0.000 0.254
Mn3 0.333 0.667 0.667
Mn4 0.333 0.667 0.921
Mn5 0.667 0.333 0.333
Mn6 0.667 0.333 0.587
Fe1 0.000 0.000 0.507
Fe2 0.333 0.667 0.174
Fe3 0.667 0.333 0.840
Os1 0.000 0.000 0.753
Os2 0.333 0.667 0.419
Os3 0.667 0.333 0.086

2.
# KSr2Bi3O9 PBE relaxed
# - Raw formation energy: -2259 kJ/mol of formula units
data_KSr2Bi3O9
_chemical_formula_sum 'K1 Sr2 Bi3 O9'
_symmetry_space_group_name_H-M 'P 1'
_symmetry_Int_Tables_number 1
_symmetry_space_group_name_Hall 'P 1'
_cell_length_a 6.132
_cell_length_b 6.132
_cell_length_c 7.523
_cell_angle_alpha 90.00
_cell_angle_beta 90.00
_cell_angle_gamma 120.00
loop_
_atom_site_label
_atom_site_fract_x
_atom_site_fract_y
_atom_site_fract_z
K1 0.000 0.000 0.000
Sr1 0.333 0.667 0.640
Sr2 0.667 0.333 0.360
Bi1 0.000 0.000 0.500
Bi2 0.333 0.667 0.160
Bi3 0.667 0.333 0.840
O1 0.000 0.500 0.000
O2 0.175 0.350 0.352
O3 0.175 0.825 0.352
O4 0.350 0.175 0.648
O5 0.500 0.000 0.000
O6 0.500 0.500 0.000
O7 0.650 0.825 0.352
O8 0.825 0.175 0.648
O9 0.825 0.650 0.648

3.
# Ac2CrSnS6 PBE relaxed
# - Raw formation energy: -1291 kJ/mol of formula units
data_Ac2CrSnS6
_chemical_formula_sum 'Ac4 Cr2 Sn2 S12'
_symmetry_space_group_name_H-M 'P 1'
_symmetry_Int_Tables_number 1
_symmetry_space_group_name_Hall 'P 1'
_cell_length_a 6.668
_cell_length_b 7.304
_cell_length_c 11.734
_cell_angle_alpha 90.00
_cell_angle_beta 124.32
_cell_angle_gamma 90.00
loop_
_atom_site_label
_atom_site_fract_x
_atom_site_fract_y
_atom_site_fract_z
Ac1 0.216 0.094 0.249
Ac2 0.216 0.406 0.749
Ac3 0.784 0.594 0.251
Ac4 0.784 0.906 0.751
Cr1 0.000 0.000 0.500
Cr2 0.000 0.500 0.000
Sn1 0.500 0.000 0.000
Sn2 0.500 0.500 0.500
S1 0.123 0.202 0.951
S2 0.123 0.298 0.451
S3 0.255 0.679 0.953
S4 0.255 0.821 0.453
S5 0.341 0.018 0.738
S6 0.341 0.482 0.238
S7 0.659 0.518 0.762
S8 0.659 0.982 0.262
S9 0.745 0.179 0.547
S10 0.745 0.321 0.047
S11 0.877 0.702 0.549
S12 0.877 0.798 0.049

Number 1: total DFT energy (no corrections) -9.338 eV per atom. Number 2: total DFT energy (no corrections) -5.610 eV per atom. Number 3: total DFT energy (no corrections) -5.999 eV per atom.